A plane-wave DFT calculation with PBE-GGA was carried out for a relaxed structure of Hf2ZrNi.

The space group is P4/mmm (No. 123) and the conventional cell measures 3.200, 3.200 and 7.518 Å, with angles of 90.00, 90.00 and 90.00 degrees. The asymmetric unit holds Hf at (0.000, 0.000, 0.211), Zr at (0.500, 0.500, 0.500) and Ni at (0.500, 0.500, 0.000).

The density of states at the Fermi level is 0.980 states/eV/atom. For the total energy, the calculation gives -8.79 eV per atom. The calculation puts the total magnetic moment at 0.000 μB per formula unit. The calculation puts the offset from the most stable computed form at 2 meV/atom. The energy of formation from the pure elements is -0.226 eV per atom.